{
  "formula": "TiMnOs3",
  "functional": "PBE",
  "state": "relaxed",
  "cell": [[4.5301, 0.0000, 0.0000], [0.0000, 4.5301, 0.0000], [0.0000, 0.0000, 4.5301]],
  "species": ["Os", "Ti", "Os", "Mn", "Os"],
  "frac_coords": [[0.0000, 0.5000, 0.0000], [0.0000, 0.0000, 0.0000], [0.5000, 0.0000, 0.0000], [0.5000, 0.5000, 0.5000], [0.0000, 0.0000, 0.5000]],
  "delta_e_f_mev_per_atom": 1714,
  "energy_ev_per_atom": -8.437,
  "de_polymorph_mev_per_atom": 446.1,
  "sg": "Pm-3m, No. 221"
}

---

{
  "formula": "PuNiGe2Ru",
  "functional": "PBE",
  "state": "relaxed",
  "cell": [[-3.5062, -2.0107, 0.1030], [1.7219, -2.8874, 2.2460], [-0.4745, 5.0577, 3.2267]],
  "species": ["Ru", "Pu", "Ni", "Ge", "Ge"],
  "frac_coords": [[0.2500, 0.7500, 0.5000], [0.0000, 0.0000, 0.0000], [0.7500, 0.2500, 0.5000], [0.6239, 0.6239, 0.2478], [0.3761, 0.3761, 0.7522]],
  "delta_e_f_mev_per_atom": -462,
  "energy_ev_per_atom": -8.187,
  "sg": "I-4m2, No. 119"
}